Compound: Tb3TcTe
Source: Alexandria
Functional: PBE
Structure: optimized geometry

Structure (POSCAR):
```
Tb3TcTe
1.0
6.005 -2.162 0.000
6.005 2.162 0.000
-5.154 0.000 10.413
Tb Tc Te
6 2 2
direct
0.037 0.037 0.365
0.327 0.327 0.121
0.371 0.371 0.833
0.629 0.629 0.167
0.673 0.673 0.879
0.963 0.963 0.635
0.043 0.043 0.919
0.957 0.957 0.081
0.328 0.328 0.396
0.672 0.672 0.604
```

Computed properties:
Formation energy without anion corrections: -2.7 eV/f.u.
Distance to the lowest polymorph of the same formula: 0.0 meV/atom
Magnetic moment: 0.00 Bohr magnetons per cell
Symmetry: C2/m (12)